No. 1
DFT (GGA-PBE) results for a relaxed SrNi2Se crystal.

Results
**Total energy**: -16.22 eV per cell
**Density of states at the Fermi level**: 9.1 states/eV/cell
**E_form (uncorrected)**: 0.13 eV per atom

abc: 4.746 4.746 4.746
angles: 60.00 60.00 60.00
Each line ends with the local moment (μB).
Fractional positions:
Ni1 0.000 0.000 0.000  0.31
Ni2 0.250 0.250 0.250  0.24
Se1 0.500 0.500 0.500  0.02
Sr1 0.750 0.750 0.750  -0.01

=====

No. 2
DFT (GGA-PBE) results for a relaxed Hf2In2Hg crystal.

Results
**Energy relative to the lowest polymorph listed for this composition**: 18 meV per atom
**Total energy**: -50.14 eV per cell
**DFT formation energy**: 122.6 meV per atom
**Density of states at the Fermi level**: 6.0 states/eV/cell

abc: 7.273 7.273 4.250
angles: 90.00 90.00 90.00
Fractional positions:
Hf1 0.168 0.668 0.500
Hf2 0.668 0.832 0.500
Hf3 0.832 0.332 0.500
Hf4 0.332 0.168 0.500
Hg1 0.000 0.000 0.000
Hg2 0.500 0.500 0.000
In1 0.365 0.865 0.000
In2 0.865 0.635 0.000
In3 0.635 0.135 0.000
In4 0.135 0.365 0.000

=====

No. 3
DFT (GGA-PBE) results for a relaxed SnAsP2Cl crystal.

Results
**Energy relative to the lowest polymorph listed for this composition**: 0 meV per atom
**Total energy**: -18.96 eV per cell
**Density of states at the Fermi level**: 2.8 states/eV/cell
**E_form (uncorrected)**: 0.47 eV per atom

abc: 4.810 4.810 4.987
angles: 90.00 90.00 90.00
Fractional positions:
P1 0.000 0.500 0.000
P2 0.500 0.000 0.000
As1 0.000 0.000 0.000
Sn1 0.500 0.500 0.500
Cl1 0.000 0.000 0.500

=====

No. 4
DFT (GGA-PBE) results for a relaxed NaSnB crystal.

Results
**Total energy**: -23.19 eV per cell
**DFT formation energy**: 134.0 meV per atom
**Density of states at the Fermi level**: 2.2 states/eV/cell

abc: 14.049 7.386 7.386
angles: 155.33 152.87 27.13
Fractional positions:
Na1 0.168 0.642 0.358
Na2 0.331 0.249 0.751
B1 0.951 0.483 0.517
B2 0.958 0.995 0.005
Sn1 0.833 0.274 0.726
Sn2 0.639 0.652 0.348

=====

No. 5
DFT (GGA-PBE) results for a relaxed Er8Tm3Tl4 crystal.

Results
**Total energy**: -57.38 eV per cell
**DFT formation energy**: 133.5 meV per atom
**Density of states at the Fermi level**: 20.2 states/eV/cell

abc: 11.089 9.061 9.061
angles: 88.98 127.97 127.97
Fractional positions:
Er1 0.524 0.253 0.253
Er2 0.000 0.641 0.359
Er3 0.986 0.248 0.248
Er4 0.500 0.762 0.238
Er5 0.500 0.238 0.762
Er6 0.014 0.752 0.752
Er7 0.000 0.359 0.641
Er8 0.476 0.747 0.747
Tm1 0.500 0.500 0.000
Tm2 0.500 0.000 0.500
Tm3 0.500 0.500 0.500
Tl1 0.500 0.000 0.000
Tl2 0.000 0.500 0.000
Tl3 0.000 0.000 0.000
Tl4 0.000 0.000 0.500

=====

No. 6
DFT (GGA-PBE) results for a relaxed Pa2SnP2N2 crystal.

Results
**Total energy**: -55.37 eV per cell
**Density of states at the Fermi level**: 4.1 states/eV/cell
**E_form (uncorrected)**: -0.70 eV per atom

abc: 3.751 3.751 12.076
angles: 90.00 90.00 120.00
Fractional positions:
Pa1 0.667 0.333 0.264
Pa2 0.333 0.667 0.736
Sn1 0.000 0.000 0.000
P1 0.000 0.000 0.411
P2 0.000 0.000 0.589
N1 0.667 0.333 0.790
N2 0.333 0.667 0.210

=====

No. 7
DFT (GGA-PBE) results for a relaxed Np4TiGa12 crystal.

Results
**Total energy**: -99.55 eV per cell
**DFT formation energy**: -209.9 meV per atom
**Density of states at the Fermi level**: 38.9 states/eV/cell

abc: 7.502 7.502 7.502
angles: 109.47 109.47 109.47
Each line ends with the local moment (μB).
Fractional positions:
Np1 0.000 0.000 0.500  3.71
Np2 0.500 0.000 0.000  3.71
Np3 0.500 0.500 0.500  3.71
Np4 0.000 0.500 0.000  3.71
Ti1 0.000 0.000 0.000  -0.42
Ga1 0.000 0.296 0.296  -0.01
Ga2 0.000 0.704 0.704  -0.01
Ga3 0.704 0.704 0.000  -0.01
Ga4 0.296 0.296 0.000  -0.01
Ga5 0.296 0.000 0.296  -0.01
Ga6 0.704 0.000 0.704  -0.01
Ga7 0.500 0.250 0.750  0.01
Ga8 0.500 0.750 0.250  0.01
Ga9 0.750 0.250 0.500  0.01
Ga10 0.250 0.750 0.500  0.01
Ga11 0.750 0.500 0.250  0.01
Ga12 0.250 0.500 0.750  0.01

=====

Question: Look up the density of states at the Fermi level of the seventh one.
Answer: 38.9 states/eV/cell